Record 1
Entry from Alexandria via LeMat-Bulk: a relaxed NiGePdRu crystal (PBE).

Properties
For the electronic total energy, the calculation gives -6.353 eV per atom. As for the symmetry: F-43m, No. 216.

a = 4.256 Å, b = 4.256 Å, c = 4.256 Å
α = 60.00°, β = 60.00°, γ = 60.00°
Positions (direct):
Ni  0.000  0.000  0.000
Ge  0.500  0.500  0.500
Pd  0.250  0.250  0.250
Ru  0.750  0.750  0.750

=====

Record 2
Entry from Alexandria via LeMat-Bulk: a relaxed Sc2NiGePd crystal (PBE).

Properties
For the electronic total energy, the calculation gives -5.395 eV per atom. As for the symmetry: P4/mmm, No. 123.

a = 5.036 Å, b = 5.036 Å, c = 4.536 Å
α = 90.00°, β = 90.00°, γ = 90.00°
Positions (direct):
Sc  0.000  0.500  0.000
Sc  0.500  0.000  0.000
Ni  0.000  0.000  0.500
Ge  0.500  0.500  0.000
Pd  0.500  0.500  0.500

=====

Record 3
Entry from Alexandria via LeMat-Bulk: a relaxed ScNiGePd crystal (PBE).

Properties
For the electronic total energy, the calculation gives -6.112 eV per atom. As for the symmetry: F-43m, No. 216.

a = 4.413 Å, b = 4.413 Å, c = 4.413 Å
α = 60.00°, β = 60.00°, γ = 60.00°
Positions (direct):
Sc  0.000  0.000  0.000
Ni  0.750  0.750  0.750
Ge  0.500  0.500  0.500
Pd  0.250  0.250  0.250

=====

Record 4
Entry from Alexandria via LeMat-Bulk: a relaxed NiGePd2Se crystal (PBE).

Properties
For the raw formation energy, the calculation gives 0.737 eV/atom. As for the symmetry: P4/mmm, No. 123.

a = 4.644 Å, b = 4.644 Å, c = 5.071 Å
α = 90.00°, β = 90.00°, γ = 90.00°
Positions (direct):
Ni  0.000  0.000  0.000
Ge  0.500  0.500  0.000
Pd  0.000  0.500  0.500
Pd  0.500  0.000  0.500
Se  0.500  0.500  0.500

=====

Record 5
Entry from Alexandria via LeMat-Bulk: a relaxed NiGe2PdSe6 crystal (PBE).

Properties
For the raw formation energy, the calculation gives -0.184 eV/atom. As for the symmetry: C2/c, No. 15.

a = 8.509 Å, b = 8.509 Å, c = 6.499 Å
α = 97.78°, β = 97.78°, γ = 83.64°
Positions (direct):
Ni  0.089  0.911  0.750
Ni  0.911  0.089  0.250
Ge  0.215  0.404  0.715
Ge  0.404  0.215  0.215
Ge  0.596  0.785  0.785
Ge  0.785  0.596  0.285
Pd  0.249  0.751  0.250
Pd  0.751  0.249  0.750
Se  0.026  0.171  0.610
Se  0.100  0.660  0.897
Se  0.171  0.026  0.110
Se  0.280  0.469  0.381
Se  0.340  0.900  0.603
Se  0.469  0.280  0.881
Se  0.531  0.720  0.119
Se  0.660  0.100  0.397
Se  0.720  0.531  0.619
Se  0.829  0.974  0.890
Se  0.900  0.340  0.103
Se  0.974  0.829  0.390

=====

Record 6
Entry from Alexandria via LeMat-Bulk: a relaxed Sm3NiGe6Pd2 crystal (PBE).

Properties
For the electronic total energy, the calculation gives -5.288 eV per atom. As for the symmetry: P-3m1, No. 164.

a = 5.895 Å, b = 5.895 Å, c = 8.119 Å
α = 90.00°, β = 90.00°, γ = 120.00°
Positions (direct):
Sm  0.000  0.000  0.000
Sm  0.333  0.667  0.626
Sm  0.667  0.333  0.374
Ni  0.000  0.000  0.500
Ge  0.181  0.362  0.293
Ge  0.181  0.819  0.293
Ge  0.362  0.181  0.707
Ge  0.638  0.819  0.293
Ge  0.819  0.181  0.707
Ge  0.819  0.638  0.707
Pd  0.333  0.667  0.031
Pd  0.667  0.333  0.969

=====

Record 7
Entry from Alexandria via LeMat-Bulk: a relaxed Sr2NiGe4Pd3 crystal (PBE).

Properties
For the electronic total energy, the calculation gives -4.949 eV per atom. As for the symmetry: P-4m2, No. 115.

a = 4.387 Å, b = 4.387 Å, c = 10.296 Å
α = 90.00°, β = 90.00°, γ = 90.00°
Positions (direct):
Sr  0.000  0.500  0.249
Sr  0.500  0.000  0.751
Ni  0.500  0.500  0.000
Ge  0.000  0.000  0.500
Ge  0.000  0.500  0.885
Ge  0.500  0.000  0.115
Ge  0.500  0.500  0.500
Pd  0.000  0.000  0.000
Pd  0.000  0.500  0.633
Pd  0.500  0.000  0.367

=====

Record 8
Entry from Alexandria via LeMat-Bulk: a relaxed Sr2NiGe3Pd4 crystal (PBE).

Properties
For the electronic total energy, the calculation gives -4.966 eV per atom. As for the symmetry: P-4m2, No. 115.

a = 4.395 Å, b = 4.395 Å, c = 10.237 Å
α = 90.00°, β = 90.00°, γ = 90.00°
Positions (direct):
Sr  0.000  0.500  0.242
Sr  0.500  0.000  0.758
Ni  0.500  0.500  0.000
Ge  0.000  0.000  0.000
Ge  0.000  0.500  0.625
Ge  0.500  0.000  0.375
Pd  0.000  0.000  0.500
Pd  0.000  0.500  0.871
Pd  0.500  0.000  0.129
Pd  0.500  0.500  0.500

=====

Record 9
Entry from Alexandria via LeMat-Bulk: a relaxed Sr2Ni3Ge4Pd crystal (PBE).

Properties
For the electronic total energy, the calculation gives -4.967 eV per atom. As for the symmetry: P-4m2, No. 115.

a = 4.256 Å, b = 4.256 Å, c = 10.095 Å
α = 90.00°, β = 90.00°, γ = 90.00°
Positions (direct):
Sr  0.000  0.500  0.245
Sr  0.500  0.000  0.755
Ni  0.000  0.500  0.878
Ni  0.500  0.000  0.122
Ni  0.500  0.500  0.500
Ge  0.000  0.000  0.000
Ge  0.000  0.500  0.631
Ge  0.500  0.000  0.369
Ge  0.500  0.500  0.000
Pd  0.000  0.000  0.500

=====

Record 10
Entry from Alexandria via LeMat-Bulk: a relaxed Tb2Ni3Ge4Pd crystal (PBE).

Properties
For the electronic total energy, the calculation gives -5.748 eV per atom. As for the symmetry: P-4m2, No. 115.

a = 4.139 Å, b = 4.139 Å, c = 9.783 Å
α = 90.00°, β = 90.00°, γ = 90.00°
Positions (direct):
Tb  0.000  0.500  0.245
Tb  0.500  0.000  0.755
Ni  0.000  0.500  0.878
Ni  0.500  0.000  0.122
Ni  0.500  0.500  0.500
Ge  0.000  0.000  0.000
Ge  0.000  0.500  0.640
Ge  0.500  0.000  0.360
Ge  0.500  0.500  0.000
Pd  0.000  0.000  0.500

=====

Record 11
Entry from Alexandria via LeMat-Bulk: a relaxed Tb2NiGe4Pd3 crystal (PBE).

Properties
For the electronic total energy, the calculation gives -5.642 eV per atom. As for the symmetry: P-4m2, No. 115.

a = 4.210 Å, b = 4.210 Å, c = 10.331 Å
α = 90.00°, β = 90.00°, γ = 90.00°
Positions (direct):
Tb  0.000  0.500  0.241
Tb  0.500  0.000  0.759
Ni  0.500  0.500  0.000
Ge  0.000  0.000  0.500
Ge  0.000  0.500  0.876
Ge  0.500  0.000  0.124
Ge  0.500  0.500  0.500
Pd  0.000  0.000  0.000
Pd  0.000  0.500  0.639
Pd  0.500  0.000  0.361

=====

Record 12
Entry from Alexandria via LeMat-Bulk: a relaxed Th2NiGe4Pd3 crystal (PBE).

Properties
For the electronic total energy, the calculation gives -6.229 eV per atom. As for the symmetry: P-4m2, No. 115.

a = 4.327 Å, b = 4.327 Å, c = 10.073 Å
α = 90.00°, β = 90.00°, γ = 90.00°
Positions (direct):
Th  0.000  0.500  0.240
Th  0.500  0.000  0.760
Ni  0.500  0.500  0.000
Ge  0.000  0.000  0.500
Ge  0.000  0.500  0.875
Ge  0.500  0.000  0.125
Ge  0.500  0.500  0.500
Pd  0.000  0.000  0.000
Pd  0.000  0.500  0.630
Pd  0.500  0.000  0.370

=====

Record 13
Entry from Alexandria via LeMat-Bulk: a relaxed TiNiGe2Pd crystal (PBE).

Properties
For the electronic total energy, the calculation gives -5.362 eV per atom. As for the symmetry: P4/mmm, No. 123.

a = 4.407 Å, b = 4.407 Å, c = 4.601 Å
α = 90.00°, β = 90.00°, γ = 90.00°
Positions (direct):
Ti  0.000  0.000  0.000
Ni  0.000  0.000  0.500
Ge  0.000  0.500  0.500
Ge  0.500  0.000  0.500
Pd  0.500  0.500  0.000

=====

Record 14
Entry from Alexandria via LeMat-Bulk: a relaxed Ti2NiGePd crystal (PBE).

Properties
For the electronic total energy, the calculation gives -5.662 eV per atom. As for the symmetry: P4/mmm, No. 123.

a = 4.694 Å, b = 4.694 Å, c = 4.505 Å
α = 90.00°, β = 90.00°, γ = 90.00°
Positions (direct):
Ti  0.000  0.500  0.000
Ti  0.500  0.000  0.000
Ni  0.000  0.000  0.500
Ge  0.500  0.500  0.000
Pd  0.500  0.500  0.500

=====

Record 15
Entry from Alexandria via LeMat-Bulk: a relaxed TmNiGe2Pd crystal (PBE).

Properties
For the electronic total energy, the calculation gives -5.617 eV per atom. As for the symmetry: I-4m2, No. 119.

a = 5.815 Å, b = 5.815 Å, c = 5.815 Å
α = 138.27°, β = 138.27°, γ = 60.49°
Positions (direct):
Tm  0.000  0.000  0.000
Ni  0.250  0.750  0.500
Ge  0.378  0.378  0.000
Ge  0.622  0.622  0.000
Pd  0.750  0.250  0.500

=====

Record 16
Entry from Alexandria via LeMat-Bulk: a relaxed Tm2Ni3Ge4Pd crystal (PBE).

Properties
For the electronic total energy, the calculation gives -5.679 eV per atom. As for the symmetry: P-4m2, No. 115.

a = 4.092 Å, b = 4.092 Å, c = 9.805 Å
α = 90.00°, β = 90.00°, γ = 90.00°
Positions (direct):
Tm  0.000  0.500  0.246
Tm  0.500  0.000  0.754
Ni  0.000  0.500  0.877
Ni  0.500  0.000  0.123
Ni  0.500  0.500  0.500
Ge  0.000  0.000  0.000
Ge  0.000  0.500  0.642
Ge  0.500  0.000  0.358
Ge  0.500  0.500  0.000
Pd  0.000  0.000  0.500

=====

Record 17
Entry from Alexandria via LeMat-Bulk: a relaxed UNiGePd crystal (PBE).

Properties
For the electronic total energy, the calculation gives -6.842 eV per atom. As for the symmetry: F-43m, No. 216.

a = 4.602 Å, b = 4.602 Å, c = 4.602 Å
α = 60.00°, β = 60.00°, γ = 60.00°
Positions (direct):
U  0.000  0.000  0.000
Ni  0.750  0.750  0.750
Ge  0.250  0.250  0.250
Pd  0.500  0.500  0.500

=====

Record 18
Entry from Alexandria via LeMat-Bulk: a relaxed NiGe2PdW crystal (PBE).

Properties
For the electronic total energy, the calculation gives -5.659 eV per atom. As for the symmetry: P4/mmm, No. 123.

a = 4.314 Å, b = 4.314 Å, c = 4.690 Å
α = 90.00°, β = 90.00°, γ = 90.00°
Positions (direct):
Ni  0.000  0.000  0.000
Ge  0.000  0.500  0.000
Ge  0.500  0.000  0.000
Pd  0.000  0.000  0.500
W  0.500  0.500  0.500

=====

Record 19
Entry from Alexandria via LeMat-Bulk: a relaxed YNi2GePd crystal (PBE).

Properties
For the polymorph energy (0 for the lowest one), the calculation gives 176.5 meV per atom. As for the symmetry: P4/mmm, No. 123.

a = 4.623 Å, b = 4.623 Å, c = 5.306 Å
α = 90.00°, β = 90.00°, γ = 90.00°
Positions (direct):
Y  0.000  0.000  0.000
Ni  0.000  0.500  0.000
Ni  0.500  0.000  0.000
Ge  0.000  0.000  0.500
Pd  0.500  0.500  0.500

=====

Record 20
Entry from Alexandria via LeMat-Bulk: a relaxed YNi2GePd crystal (PBE).

Properties
For the polymorph energy (0 for the lowest one), the calculation gives 0.0 meV per atom. As for the symmetry: P4/mmm, No. 123.

a = 4.734 Å, b = 4.734 Å, c = 5.066 Å
α = 90.00°, β = 90.00°, γ = 90.00°
Positions (direct):
Y  0.000  0.000  0.000
Ni  0.000  0.500  0.000
Ni  0.500  0.000  0.000
Ge  0.500  0.500  0.500
Pd  0.000  0.000  0.500

=====

Record 21
Entry from Alexandria via LeMat-Bulk: a relaxed YNiGe2Pd crystal (PBE).

Properties
For the electronic total energy, the calculation gives -6.056 eV per atom. As for the symmetry: I-4m2, No. 119.

a = 5.838 Å, b = 5.838 Å, c = 5.838 Å
α = 138.09°, β = 138.09°, γ = 60.76°
Positions (direct):
Y  0.000  0.000  0.000
Ni  0.750  0.250  0.500
Ge  0.377  0.377  0.000
Ge  0.623  0.623  0.000
Pd  0.250  0.750  0.500

=====

Record 22
Entry from Alexandria via LeMat-Bulk: a relaxed ZnNiGePd crystal (PBE).

Properties
For the electronic total energy, the calculation gives -4.498 eV per atom. As for the symmetry: F-43m, No. 216.

a = 4.282 Å, b = 4.282 Å, c = 4.282 Å
α = 60.00°, β = 60.00°, γ = 60.00°
Positions (direct):
Zn  0.000  0.000  0.000
Ni  0.250  0.250  0.250
Ge  0.500  0.500  0.500
Pd  0.750  0.750  0.750

=====

Record 23
Entry from Alexandria via LeMat-Bulk: a relaxed PmNi3Ge3 crystal (PBE).

Properties
For the polymorph energy (0 for the lowest one), the calculation gives 0.0 meV per atom. As for the symmetry: R-3, No. 148.

a = 7.972 Å, b = 7.972 Å, c = 7.972 Å
α = 46.55°, β = 46.55°, γ = 46.55°
Positions (direct):
Pm  0.173  0.173  0.173
Pm  0.827  0.827  0.827
Ni  0.056  0.566  0.269
Ni  0.269  0.056  0.566
Ni  0.434  0.731  0.944
Ni  0.566  0.269  0.056
Ni  0.731  0.944  0.434
Ni  0.944  0.434  0.731
Ge  0.169  0.695  0.365
Ge  0.305  0.635  0.831
Ge  0.365  0.169  0.695
Ge  0.635  0.831  0.305
Ge  0.695  0.365  0.169
Ge  0.831  0.305  0.635

=====

Record 24
Entry from Alexandria via LeMat-Bulk: a relaxed Pm6NiGe5 crystal (PBE).

Properties
For the electronic total energy, the calculation gives -5.320 eV per atom. As for the symmetry: C2/m, No. 12.

a = 7.422 Å, b = 7.422 Å, c = 7.216 Å
α = 99.83°, β = 99.83°, γ = 120.01°
Positions (direct):
Pm  0.082  0.408  0.749
Pm  0.241  0.241  0.256
Pm  0.408  0.082  0.749
Pm  0.592  0.918  0.251
Pm  0.759  0.759  0.744
Pm  0.918  0.592  0.251
Ni  0.000  0.000  0.500
Ge  0.168  0.832  0.000
Ge  0.333  0.667  0.500
Ge  0.500  0.500  0.000
Ge  0.667  0.333  0.500
Ge  0.832  0.168  0.000

=====

Ρ? In order: 10.3; 4.7; 7.7; 6.4; 5.7; 7.9; 7.1; 7.4; 6.8; 8.8; 8.9; 10.0; 6.7; 5.6; 9.2; 9.2; 11.5; 9.4; 5.6; 5.6; 7.6; 9.1; 7.3; 6.6 g/cm3.